Density functional theory data (PBE) for a relaxed CeNi4Ag crystal.

abc: 4.970 4.970 4.970
angles: 60.00 60.00 60.00
Sites, in units of the cell vectors:
Ni 0.626 0.626 0.123
Ni 0.123 0.626 0.626
Ni 0.626 0.626 0.626
Ni 0.626 0.123 0.626
Ag 0.000 0.000 0.000
Ce 0.250 0.250 0.250

Properties
The density of states at the Fermi level is 8.62 states/eV/f.u. The formation energy is -0.290 eV/atom.



Density functional theory data (PBE) for a relaxed CeNiAgPb crystal.

abc: 4.931 4.931 4.931
angles: 60.00 60.00 60.00
Sites, in units of the cell vectors:
Ag 0.250 0.250 0.250
Ce 0.000 0.000 0.000
Pb 0.500 0.500 0.500
Ni 0.750 0.750 0.750

Properties
The density of states at the Fermi level is 3.92 states/eV/f.u. The formation energy is -0.160 eV/atom.



Density functional theory data (PBE) for a relaxed CeNiAgPd crystal.

abc: 4.720 4.720 4.720
angles: 60.00 60.00 60.00
Sites, in units of the cell vectors:
Pd 0.000 0.000 0.000
Ni 0.500 0.500 0.500
Ce 0.750 0.750 0.750
Ag 0.250 0.250 0.250

Properties
The density of states at the Fermi level is 4.55 states/eV/f.u. The formation energy is -0.268 eV/atom.



Density functional theory data (PBE) for a relaxed CePmNiAg crystal.

abc: 5.096 5.096 5.096
angles: 60.00 60.00 60.00
Sites, in units of the cell vectors:
Ce 0.250 0.250 0.250
Pm 0.750 0.750 0.750
Ni 0.500 0.500 0.500
Ag 0.000 0.000 0.000

Properties
The density of states at the Fermi level is 8.38 states/eV/f.u. The formation energy is -0.132 eV/atom.



Density functional theory data (PBE) for a relaxed CePuNiAg crystal.

abc: 4.777 4.777 4.777
angles: 60.00 60.00 60.00
Sites, in units of the cell vectors:
Pu 0.000 0.000 0.000
Ag 0.250 0.250 0.250
Ce 0.750 0.750 0.750
Ni 0.500 0.500 0.500

Properties
The density of states at the Fermi level is 4.97 states/eV/f.u. The formation energy is -0.148 eV/atom.



Density functional theory data (PBE) for a relaxed CeNiAgRh crystal.

abc: 4.652 4.652 4.652
angles: 60.00 60.00 60.00
Sites, in units of the cell vectors:
Rh 0.750 0.750 0.750
Ni 0.250 0.250 0.250
Ag 0.500 0.500 0.500
Ce 0.000 0.000 0.000

Properties
The density of states at the Fermi level is 4.55 states/eV/f.u. The formation energy is -0.232 eV/atom.



Density functional theory data (PBE) for a relaxed Ce3NiAg3S8 crystal.

abc: 8.012 8.012 7.631
angles: 121.65 90.00 120.00
Sites, in units of the cell vectors:
S 0.226 0.999 0.725
S 0.226 0.452 0.725
S 0.772 0.999 0.725
S 0.228 0.001 0.275
S 0.774 0.001 0.275
S 0.251 0.502 0.253
S 0.749 0.498 0.747
S 0.774 0.548 0.275
Ag 0.000 0.000 0.000
Ag 0.000 0.500 0.000
Ag 0.500 0.500 0.000
Ni 0.000 0.000 0.500
Ce 0.500 0.500 0.500
Ce 0.000 0.500 0.500
Ce 0.500 0.000 0.500

Properties
For the uncorrected formation energy, the calculation gives -0.99 eV/atom. The density of states at the Fermi level is 10.88 states/eV/f.u.



Density functional theory data (PBE) for a relaxed CeNiAg2S4 crystal.

abc: 3.874 6.549 12.766
angles: 90.00 90.00 107.21
Sites, in units of the cell vectors:
Ni 0.174 0.347 0.250
Ni 0.826 0.653 0.750
Ag 0.372 0.743 0.943
Ag 0.628 0.257 0.443
Ag 0.628 0.257 0.057
Ag 0.372 0.743 0.557
S 0.696 0.392 0.870
S 0.577 0.154 0.250
S 0.000 0.000 0.500
S 0.304 0.608 0.370
S 0.423 0.846 0.750
S 0.696 0.392 0.630
S 0.000 0.000 0.000
S 0.304 0.608 0.130
Ce 0.911 0.821 0.250
Ce 0.089 0.179 0.750

Properties
For the uncorrected formation energy, the calculation gives -0.64 eV/atom. The density of states at the Fermi level is 4.98 states/eV/f.u.



Density functional theory data (PBE) for a relaxed Ce2NiAg3S6 crystal.

abc: 6.824 6.824 6.497
angles: 99.89 99.89 120.46
Sites, in units of the cell vectors:
Ni 0.000 0.000 0.000
S 0.615 0.921 0.761
S 0.223 0.223 0.774
S 0.921 0.615 0.761
S 0.079 0.385 0.239
S 0.385 0.079 0.239
S 0.777 0.777 0.226
Ce 0.334 0.666 0.000
Ce 0.666 0.334 0.000
Ag 0.500 0.500 0.500
Ag 0.180 0.820 0.500
Ag 0.820 0.180 0.500

Properties
For the uncorrected formation energy, the calculation gives -0.83 eV/atom. The density of states at the Fermi level is 8.92 states/eV/f.u.



Density functional theory data (PBE) for a relaxed CeScNiAg crystal.

abc: 4.907 4.907 4.907
angles: 60.00 60.00 60.00
Sites, in units of the cell vectors:
Sc 0.250 0.250 0.250
Ag 0.000 0.000 0.000
Ce 0.750 0.750 0.750
Ni 0.500 0.500 0.500

Properties
The density of states at the Fermi level is 7.21 states/eV/f.u. The formation energy is -0.155 eV/atom.



Density functional theory data (PBE) for a relaxed Ce3NiAg3Se8 crystal.

abc: 8.335 8.342 7.988
angles: 121.46 90.00 119.97
Sites, in units of the cell vectors:
Ag 0.500 0.500 0.000
Ag 0.000 0.500 0.000
Ag 0.000 0.000 0.000
Se 0.223 0.998 0.272
Se 0.777 0.002 0.728
Se 0.774 0.998 0.272
Se 0.226 0.002 0.728
Se 0.249 0.499 0.248
Se 0.751 0.501 0.752
Se 0.772 0.543 0.270
Se 0.228 0.457 0.730
Ni 0.000 0.000 0.500
Ce 0.000 0.500 0.500
Ce 0.500 0.000 0.500
Ce 0.500 0.500 0.500

Properties
For the uncorrected formation energy, the calculation gives -0.92 eV/atom. The density of states at the Fermi level is 11.62 states/eV/f.u.



Density functional theory data (PBE) for a relaxed CeTlNiAg crystal.

abc: 4.905 4.905 4.905
angles: 60.00 60.00 60.00
Sites, in units of the cell vectors:
Tl 0.250 0.250 0.250
Ce 0.750 0.750 0.750
Ag 0.500 0.500 0.500
Ni 0.000 0.000 0.000

Properties
The density of states at the Fermi level is 6.10 states/eV/f.u. The formation energy is -0.085 eV/atom.



Density functional theory data (PBE) for a relaxed CeTmNiAg crystal.

abc: 5.001 5.001 5.001
angles: 60.00 60.00 60.00
Sites, in units of the cell vectors:
Ni 0.750 0.750 0.750
Ce 0.000 0.000 0.000
Ag 0.250 0.250 0.250
Tm 0.500 0.500 0.500

Properties
The density of states at the Fermi level is 6.69 states/eV/f.u. The formation energy is -0.203 eV/atom.



Density functional theory data (PBE) for a relaxed CeYNiAg crystal.

abc: 5.044 5.044 5.044
angles: 60.00 60.00 60.00
Sites, in units of the cell vectors:
Ni 0.250 0.250 0.250
Ag 0.750 0.750 0.750
Y 0.500 0.500 0.500
Ce 0.000 0.000 0.000

Properties
The density of states at the Fermi level is 7.54 states/eV/f.u. The formation energy is -0.175 eV/atom.



Density functional theory data (PBE) for a relaxed CeZnNiAg crystal.

abc: 4.751 4.751 4.751
angles: 60.00 60.00 60.00
Sites, in units of the cell vectors:
Ce 0.750 0.750 0.750
Ni 0.500 0.500 0.500
Zn 0.250 0.250 0.250
Ag 0.000 0.000 0.000

Properties
The density of states at the Fermi level is 5.16 states/eV/f.u. The formation energy is -0.095 eV/atom.



Density functional theory data (PBE) for a relaxed CeNpAgO6 crystal.

abc: 5.940 5.940 9.443
angles: 90.00 90.00 120.00
Sites, in units of the cell vectors:
O 0.385 0.356 0.360
O 0.971 0.615 0.360
O 0.971 0.356 0.140
O 0.615 0.971 0.860
O 0.029 0.644 0.860
O 0.615 0.644 0.640
O 0.385 0.029 0.140
O 0.029 0.385 0.640
O 0.644 0.029 0.360
O 0.356 0.385 0.860
O 0.356 0.971 0.640
O 0.644 0.615 0.140
Ag 0.000 0.000 0.000
Ag 0.000 0.000 0.500
Ce 0.667 0.333 0.750
Ce 0.333 0.667 0.250
Np 0.333 0.667 0.750
Np 0.667 0.333 0.250

Properties
For the uncorrected formation energy, the calculation gives -2.32 eV/atom.



Density functional theory data (PBE) for a relaxed CeNpAgPt crystal.

abc: 4.857 4.857 4.857
angles: 60.00 60.00 60.00
Sites, in units of the cell vectors:
Ce 0.750 0.750 0.750
Pt 0.250 0.250 0.250
Ag 0.500 0.500 0.500
Np 0.000 0.000 0.000

Properties
The density of states at the Fermi level is 9.24 states/eV/f.u. The formation energy is -0.381 eV/atom.



Density functional theory data (PBE) for a relaxed Ce2AgO crystal.

abc: 3.246 3.246 9.482
angles: 80.14 80.14 60.00
Sites, in units of the cell vectors:
O 0.500 0.500 0.500
Ce 0.111 0.111 0.668
Ce 0.889 0.889 0.332
Ag 0.000 0.000 0.000

Properties
The calculation puts the energy above the lowest structure with this stoichiometry at 212.0 meV/atom. For the uncorrected formation energy, the calculation gives -1.08 eV/atom. The density of states at the Fermi level is 6.34 states/eV/f.u.



Density functional theory data (PBE) for a relaxed Ce2AgO crystal.

abc: 3.600 3.600 7.881
angles: 76.80 76.80 60.00
Sites, in units of the cell vectors:
Ce 0.060 0.060 0.820
Ce 0.272 0.272 0.183
O 0.667 0.667 0.998
Ag 0.500 0.500 0.499

Properties
The calculation puts the energy above the lowest structure with this stoichiometry at 0.0 meV/atom. For the uncorrected formation energy, the calculation gives -1.29 eV/atom. The density of states at the Fermi level is 8.52 states/eV/f.u.



Density functional theory data (PBE) for a relaxed Ce3Ag5O12 crystal.

abc: 11.362 11.362 11.362
angles: 109.47 109.47 109.47
Sites, in units of the cell vectors:
Ag 0.625 0.750 0.875
Ag 0.125 0.375 0.250
Ag 0.000 0.000 0.000
Ag 0.375 0.125 0.750
Ag 0.125 0.750 0.375
Ag 0.000 0.500 0.500
Ag 0.750 0.125 0.875
Ag 0.500 0.000 0.500
Ag 0.375 0.250 0.125
Ag 0.250 0.375 0.625
Ag 0.875 0.625 0.750
Ag 0.500 0.500 0.500
Ag 0.250 0.875 0.125
Ag 0.500 0.000 0.000
Ag 0.875 0.250 0.625
Ag 0.000 0.000 0.500
Ag 0.750 0.625 0.375
Ag 0.625 0.875 0.250
Ag 0.500 0.500 0.000
Ag 0.000 0.500 0.000
O 0.581 0.864 0.417
O 0.217 0.664 0.081
O 0.917 0.081 0.864
O 0.917 0.836 0.553
O 0.783 0.336 0.919
O 0.864 0.581 0.917
O 0.081 0.917 0.364
O 0.336 0.783 0.419
O 0.583 0.947 0.664
O 0.136 0.717 0.553
O 0.083 0.919 0.136
O 0.947 0.583 0.164
O 0.553 0.336 0.917
O 0.636 0.583 0.919
O 0.919 0.083 0.636
O 0.283 0.419 0.836
O 0.217 0.553 0.636
O 0.447 0.783 0.864
O 0.636 0.053 0.217
O 0.836 0.919 0.283
O 0.336 0.553 0.417
O 0.164 0.083 0.947
O 0.947 0.364 0.283
O 0.419 0.283 0.336
O 0.581 0.717 0.664
O 0.417 0.053 0.336
O 0.364 0.947 0.783
O 0.083 0.164 0.447
O 0.717 0.136 0.053
O 0.053 0.636 0.717
O 0.417 0.364 0.581
O 0.664 0.447 0.583
O 0.053 0.417 0.836
O 0.919 0.836 0.783
O 0.136 0.419 0.083
O 0.553 0.217 0.136
O 0.783 0.447 0.364
O 0.081 0.164 0.217
O 0.864 0.283 0.447
O 0.447 0.664 0.083
O 0.164 0.081 0.717
O 0.583 0.636 0.419
O 0.717 0.581 0.164
O 0.664 0.217 0.581
O 0.283 0.864 0.947
O 0.419 0.136 0.583
O 0.836 0.917 0.053
O 0.364 0.417 0.081
Ce 0.125 0.250 0.875
Ce 0.625 0.375 0.750
Ce 0.375 0.625 0.250
Ce 0.875 0.750 0.125
Ce 0.750 0.375 0.125
Ce 0.750 0.875 0.625
Ce 0.250 0.625 0.875
Ce 0.875 0.125 0.250
Ce 0.375 0.750 0.625
Ce 0.625 0.250 0.375
Ce 0.250 0.125 0.375
Ce 0.125 0.875 0.750

Properties
For the uncorrected formation energy, the calculation gives -1.34 eV/atom. The density of states at the Fermi level is 8.56 states/eV/f.u.



Density functional theory data (PBE) for a relaxed Ce2AgO crystal.

abc: 3.069 3.069 7.937
angles: 90.00 90.00 90.00
Sites, in units of the cell vectors:
Ag 0.500 0.500 0.500
Ce 0.000 0.000 0.805
Ce 0.000 0.000 0.195
O 0.500 0.500 0.000

Properties
The calculation puts the energy above the lowest structure with this stoichiometry at 223.9 meV/atom. For the uncorrected formation energy, the calculation gives -1.06 eV/atom. The density of states at the Fermi level is 7.46 states/eV/f.u.



Density functional theory data (PBE) for a relaxed CeAgP2O8 crystal.

abc: 5.527 5.527 6.791
angles: 90.00 90.00 120.00
Sites, in units of the cell vectors:
O 0.819 0.638 0.289
O 0.638 0.819 0.711
O 0.819 0.181 0.289
O 0.362 0.181 0.289
O 0.181 0.819 0.711
O 0.667 0.333 0.982
O 0.333 0.667 0.018
O 0.181 0.362 0.711
P 0.333 0.667 0.794
P 0.667 0.333 0.206
Ce 0.000 0.000 0.500
Ag 0.000 0.000 0.000

Properties
For the uncorrected formation energy, the calculation gives -2.08 eV/atom. The density of states at the Fermi level is 8.38 states/eV/f.u.



Number 1: uncorrected energy -33.651 eV/cell. Number 2: uncorrected energy -18.915 eV/cell. Number 3: uncorrected energy -20.832 eV/cell. Number 4: uncorrected energy -19.846 eV/cell. Number 5: uncorrected energy -29.489 eV/cell. Number 6: uncorrected energy -22.846 eV/cell. Number 7: uncorrected energy -80.013 eV/cell. Number 8: uncorrected energy -78.030 eV/cell. Number 9: uncorrected energy -60.982 eV/cell. Number 10: uncorrected energy -21.516 eV/cell. Number 11: uncorrected energy -73.799 eV/cell. Number 12: uncorrected energy -17.271 eV/cell. Number 13: uncorrected energy -19.850 eV/cell. Number 14: uncorrected energy -21.732 eV/cell. Number 15: uncorrected energy -16.219 eV/cell. Number 16: uncorrected energy -144.650 eV/cell. Number 17: uncorrected energy -29.292 eV/cell. Number 18: uncorrected energy -23.981 eV/cell. Number 19: uncorrected energy -24.829 eV/cell. Number 20: uncorrected energy -473.803 eV/cell. Number 21: uncorrected energy -23.934 eV/cell. Number 22: uncorrected energy -84.173 eV/cell.